# 1
An optimized crystal structure of P2OsSe, computed with GGA-PBE.

Cell: 3.566 4.801 5.325 Å, 96.84 109.57 89.98°
Fractional coordinates of all 4 atoms:
P: 0.470 0.870 0.517
P: 0.407 0.403 0.392
Os: 0.000 0.172 0.578
Se: 0.188 0.531 0.956

## Properties
Energy relative to the elements, uncorrected (kJ per mole of atoms): 12.8
Magnetization (Bohr magnetons per cell): 0.0

# 2
An optimized crystal structure of SiIr4, computed with GGA-PBE.

Cell: 4.686 4.686 4.686 Å, 99.99 99.99 130.77°
Fractional coordinates of all 5 atoms:
Si: 0.000 0.000 0.000
Ir: 0.803 0.395 0.198
Ir: 0.395 0.197 0.592
Ir: 0.197 0.605 0.802
Ir: 0.605 0.803 0.408

## Properties
Energy relative to the elements, uncorrected (kJ per mole of atoms): -8.9
Magnetization (Bohr magnetons per cell): 0.0
Energy relative to the lowest polymorph listed for this composition (eV per formula unit): 0.00

# 3
An optimized crystal structure of TbErPtPb, computed with GGA-PBE.

Cell: 5.179 5.179 5.179 Å, 60.00 60.00 60.00°
Fractional coordinates of all 4 atoms:
Pb: 0.250 0.250 0.250
Tb: 0.500 0.500 0.500
Pt: 0.750 0.750 0.750
Er: 0.000 0.000 0.000

## Properties
Magnetization (Bohr magnetons per cell): 0.0
Formation enthalpy at 0 K (eV/f.u.): -2.956

# 4
An optimized crystal structure of RbIn2, computed with GGA-PBE.

Cell: 6.609 6.609 6.609 Å, 60.00 60.00 60.00°
Fractional coordinates of all 6 atoms:
Rb: 0.000 0.000 0.000
Rb: 0.250 0.250 0.250
In: 0.125 0.625 0.625
In: 0.625 0.125 0.625
In: 0.625 0.625 0.625
In: 0.625 0.625 0.125

## Properties
Magnetization (Bohr magnetons per cell): 0.0
Energy relative to the lowest polymorph listed for this composition (eV per formula unit): 0.08
Formation enthalpy at 0 K (eV/f.u.): -0.225

What is the magnetization in the fourth record? 0.0 Bohr magnetons per cell

What is the magnetization in the third record? 0.0 Bohr magnetons per cell

Which value of magnetization does entry 3 give? 0.0 Bohr magnetons per cell